No. 1
VASP calculation (PBE-GGA) on a relaxed structure of NaRh2Pb.

For the calculated volume, the calculation gives 325.5 Å³ per cell. Its uncorrected energy is -4.478 eV/atom. The calculation puts the calculated formation energy at 455 meV per atom.

The space group is I-42d (No. 122) and the conventional cell measures 7.494, 7.494 and 5.796 Å, with angles of 90.00, 90.00 and 90.00 degrees. The asymmetric unit holds Na at (0.000, 0.000, 0.000), Rh at (0.225, 0.250, 0.625) and Pb at (0.000, 0.000, 0.500).

---

No. 2
VASP calculation (PBE-GGA) on a relaxed structure of BaScNb2Tl.

For the calculated volume, the calculation gives 145.7 Å³ per cell. Its uncorrected energy is -5.126 eV/atom. The calculation puts the calculated formation energy at 1026 meV per atom.

The space group is P4/mmm (No. 123) and the conventional cell measures 5.070, 5.070 and 5.667 Å, with angles of 90.00, 90.00 and 90.00 degrees. The asymmetric unit holds Ba at (0.000, 0.000, 0.000), Sc at (0.500, 0.500, 0.500), Nb at (0.000, 0.500, 0.500) and Tl at (0.500, 0.500, 0.000).

---

No. 3
VASP calculation (PBE-GGA) on a relaxed structure of Li2LaHf2.

For the calculated volume, the calculation gives 222.5 Å³ per cell. Its uncorrected energy is -5.285 eV/atom. The calculation puts the calculated formation energy at 447 meV per atom.

The space group is P4/mbm (No. 127) and the conventional cell measures 8.504, 8.504 and 3.077 Å, with angles of 90.00, 90.00 and 90.00 degrees. The asymmetric unit holds Li at (0.170, 0.330, 0.000), La at (0.000, 0.000, 0.500) and Hf at (0.125, 0.625, 0.500).